--- a ---
Ag4SeCl3 | the Alexandria database | PBE-GGA | relaxed; symmetry = Pmn2_1 (31); D(E_F) = 1.26 states/eV/atom
1.0
8.297 0.000 0.000
0.000 7.529 0.000
0.000 0.000 7.054
Ag Se Cl
8 2 6
Direct
0.000 0.162 0.000 Ag
0.000 0.833 0.482 Ag
0.238 0.323 0.490 Ag
0.262 0.677 0.990 Ag
0.500 0.167 0.982 Ag
0.500 0.838 0.500 Ag
0.738 0.677 0.990 Ag
0.762 0.323 0.490 Ag
0.000 0.151 0.360 Se
0.500 0.849 0.860 Se
0.000 0.831 0.859 Cl
0.247 0.348 0.862 Cl
0.253 0.652 0.362 Cl
0.500 0.169 0.359 Cl
0.747 0.652 0.362 Cl
0.753 0.348 0.862 Cl

--- b ---
Ag4SeCl3 | the Alexandria database | PBE-GGA | relaxed; symmetry = I4/mmm (139); D(E_F) = 0.97 states/eV/atom
1.0
-2.683 2.683 6.378
2.683 -2.683 6.378
2.683 2.683 -6.378
Ag Se Cl
4 1 3
Direct
0.000 0.500 0.500 Ag
0.212 0.212 0.000 Ag
0.500 0.000 0.500 Ag
0.788 0.788 0.000 Ag
0.000 0.000 0.000 Se
0.250 0.750 0.500 Cl
0.500 0.500 0.000 Cl
0.750 0.250 0.500 Cl

Most stable to least stable, the ends of the list are b and a.

--- a ---
Sm2AgCl | the Alexandria database | PBE-GGA | relaxed; symmetry = R-3m (166); D(E_F) = 0.72 states/eV/atom
1.0
1.710 0.987 10.563
-1.710 0.987 10.563
0.000 -1.974 10.563
Sm Ag Cl
2 1 1
Direct
0.095 0.095 0.095 Sm
0.905 0.905 0.905 Sm
0.000 0.000 0.000 Ag
0.500 0.500 0.500 Cl

--- b ---
Sm2AgCl | the Alexandria database | PBE-GGA | relaxed; symmetry = R3m (160); D(E_F) = 0.84 states/eV/atom
1.0
1.804 1.041 9.104
-1.804 1.041 9.104
0.000 -2.083 9.104
Sm Ag Cl
2 1 1
Direct
0.000 0.000 0.000 Sm
0.161 0.161 0.161 Sm
0.580 0.580 0.580 Ag
0.415 0.415 0.415 Cl

Most stable to least stable, the ends of the list are b and a.

--- a ---
Ag3SnCl6 | the Alexandria database | PBE-GGA | relaxed; symmetry = P2_1/c (14); D(E_F) = 0.39 states/eV/atom
1.0
6.961 0.000 0.000
0.000 6.868 0.000
-6.808 0.000 10.485
Ag Sn Cl
6 2 12
Direct
0.000 0.000 0.000 Ag
0.000 0.500 0.500 Ag
0.231 0.030 0.744 Ag
0.231 0.470 0.244 Ag
0.769 0.530 0.756 Ag
0.769 0.970 0.256 Ag
0.500 0.000 0.500 Sn
0.500 0.500 0.000 Sn
0.144 0.100 0.263 Cl
0.144 0.400 0.763 Cl
0.230 0.675 0.062 Cl
0.230 0.825 0.562 Cl
0.414 0.173 0.080 Cl
0.414 0.327 0.580 Cl
0.586 0.673 0.420 Cl
0.586 0.827 0.920 Cl
0.770 0.175 0.438 Cl
0.770 0.325 0.938 Cl
0.856 0.600 0.237 Cl
0.856 0.900 0.737 Cl

--- b ---
Ag3SnCl6 | the Alexandria database | PBE-GGA | relaxed; symmetry = P2_1/m (11); D(E_F) = 0.86 states/eV/atom
1.0
11.050 0.000 0.000
0.000 4.011 0.000
-4.927 0.000 11.546
Ag Sn Cl
6 2 12
Direct
0.022 0.250 0.149 Ag
0.354 0.250 0.958 Ag
0.416 0.750 0.336 Ag
0.584 0.250 0.664 Ag
0.646 0.750 0.042 Ag
0.978 0.750 0.851 Ag
0.191 0.250 0.594 Sn
0.809 0.750 0.406 Sn
0.059 0.750 0.416 Cl
0.117 0.250 0.949 Cl
0.215 0.750 0.754 Cl
0.254 0.250 0.283 Cl
0.419 0.750 0.587 Cl
0.455 0.750 0.111 Cl
0.545 0.250 0.889 Cl
0.581 0.250 0.413 Cl
0.746 0.750 0.717 Cl
0.785 0.250 0.246 Cl
0.883 0.750 0.051 Cl
0.941 0.250 0.584 Cl

Most stable to least stable, the ends of the list are a and b.